VASP calculation (PBE) on an optimized crystal structure of La2TaBe.

Unit cell a=7.2063 b=7.2577 c=3.7212 alpha=90.00 beta=90.00 gamma=90.00
Last column: nearest neighbours and their distance in Å.
Sites, in units of the cell vectors:
La1 0.2500 0.2500 0.0000  4 Ta 3.16, 4 Be 3.16
La2 0.2500 0.7500 0.0000  4 Ta 3.16, 4 Be 3.16
La3 0.7500 0.2500 0.0000  4 Be 3.16, 4 Ta 3.16
La4 0.7500 0.7500 0.0000  4 Ta 3.16, 4 Be 3.16
Ta1 0.0000 0.0000 0.5000  8 La 3.16
Ta2 0.5000 0.5000 0.5000  8 La 3.16
Be1 0.0000 0.5000 0.5000  8 La 3.16
Be2 0.5000 0.0000 0.5000  8 La 3.16

**DFT formation energy**: 550 meV/atom

---

VASP calculation (PBE) on an optimized crystal structure of NdTlSn.

Unit cell a=6.0799 b=8.7522 c=6.5271 alpha=90.00 beta=90.00 gamma=90.00
Last column: nearest neighbours and their distance in Å.
Sites, in units of the cell vectors:
Nd1 0.0000 0.1752 0.2500  5 Tl 3.15-3.28, 2 Sn 3.28
Nd2 0.0000 0.8248 0.7500  5 Tl 3.15-3.28, 2 Sn 3.28
Nd3 0.5000 0.3248 0.7500  5 Tl 3.15-3.28, 2 Sn 3.28
Nd4 0.5000 0.6752 0.2500  5 Tl 3.15-3.28, 2 Sn 3.28
Tl1 0.0000 0.1844 0.7500  5 Nd 3.15-3.28, 2 Sn 3.21
Tl2 0.0000 0.8156 0.2500  5 Nd 3.15-3.28, 2 Sn 3.21
Tl3 0.5000 0.3156 0.2500  5 Nd 3.15-3.28, 2 Sn 3.21
Tl4 0.5000 0.6844 0.7500  5 Nd 3.15-3.28, 2 Sn 3.21
Sn1 0.0000 0.5000 0.0000  2 Tl 3.21, 2 Sn 3.26, 2 Nd 3.28
Sn2 0.0000 0.5000 0.5000  2 Tl 3.21, 2 Sn 3.26, 2 Nd 3.28
Sn3 0.5000 0.0000 0.0000  2 Tl 3.21, 2 Sn 3.26, 2 Nd 3.28
Sn4 0.5000 0.0000 0.5000  2 Tl 3.21, 2 Sn 3.26, 2 Nd 3.28

**DFT formation energy**: -363 meV/atom

---

VASP calculation (PBE) on an optimized crystal structure of UCo4GeP2.

Unit cell a=3.8139 b=3.8139 c=7.4154 alpha=90.00 beta=90.00 gamma=90.00
Last column: nearest neighbours and their distance in Å.
Sites, in units of the cell vectors:
U1 0.0000 0.0000 0.0000  8 P 2.94, 8 Co 2.99
Co1 0.0000 0.5000 0.3098  2 P 2.21, 2 Ge 2.37
Co2 0.0000 0.5000 0.6902  2 P 2.21, 2 Ge 2.37
Co3 0.5000 0.0000 0.3098  2 P 2.21, 2 Ge 2.37
Co4 0.5000 0.0000 0.6902  2 P 2.21, 2 Ge 2.37
Ge1 0.0000 0.0000 0.5000  8 Co 2.37
P1 0.5000 0.5000 0.1590  4 Co 2.21, 1 P 2.36
P2 0.5000 0.5000 0.8410  4 Co 2.21, 1 P 2.36

**DFT formation energy**: -522 meV/atom

---

VASP calculation (PBE) on an optimized crystal structure of Cd2CoTe.

Unit cell a=6.9165 b=6.9165 c=6.9165 alpha=90.00 beta=90.00 gamma=90.00
Last column: nearest neighbours and their distance in Å.
Sites, in units of the cell vectors:
Cd1 0.0000 0.0000 0.0000  4 Cd 2.99, 4 Te 2.99
Cd2 0.0000 0.5000 0.5000  4 Cd 2.99, 4 Te 2.99
Cd3 0.2500 0.2500 0.2500  4 Co 2.99, 4 Cd 2.99
Cd4 0.2500 0.7500 0.7500  4 Cd 2.99, 4 Co 2.99
Cd5 0.5000 0.0000 0.5000  4 Cd 2.99, 4 Te 2.99
Cd6 0.5000 0.5000 0.0000  4 Cd 2.99, 4 Te 2.99
Cd7 0.7500 0.2500 0.7500  4 Cd 2.99, 4 Co 2.99
Cd8 0.7500 0.7500 0.2500  4 Cd 2.99, 4 Co 2.99
Co1 0.0000 0.0000 0.5000  4 Cd 2.99, 4 Te 2.99
Co2 0.0000 0.5000 0.0000  4 Cd 2.99, 4 Te 2.99
Co3 0.5000 0.0000 0.0000  4 Cd 2.99, 4 Te 2.99
Co4 0.5000 0.5000 0.5000  4 Cd 2.99, 4 Te 2.99
Te1 0.2500 0.2500 0.7500  4 Cd 2.99, 4 Co 2.99
Te2 0.2500 0.7500 0.2500  4 Cd 2.99, 4 Co 2.99
Te3 0.7500 0.2500 0.2500  4 Cd 2.99, 4 Co 2.99
Te4 0.7500 0.7500 0.7500  4 Cd 2.99, 4 Co 2.99

**E_form (uncorrected)**: 456 meV per atom

---

VASP calculation (PBE) on an optimized crystal structure of HfMg2AlPt.

Unit cell a=4.8608 b=4.8608 c=4.7198 alpha=90.00 beta=90.00 gamma=90.00
Last column: nearest neighbours and their distance in Å.
Sites, in units of the cell vectors:
Hf1 0.0000 0.0000 0.0000  8 Mg 3.39, 4 Al 3.44
Mg1 0.0000 0.5000 0.5000  2 Pt 2.43
Mg2 0.5000 0.0000 0.5000  2 Pt 2.43
Al1 0.5000 0.5000 0.0000  2 Pt 2.36
Pt1 0.5000 0.5000 0.5000  2 Al 2.36, 4 Mg 2.43

**DFT formation energy**: 92 meV/atom

---

VASP calculation (PBE) on an optimized crystal structure of Na2Sr3Hg2.

Unit cell a=5.4867 b=5.5106 c=11.6552 alpha=89.67 beta=76.42 gamma=60.15
Last column: nearest neighbours and their distance in Å.
Sites, in units of the cell vectors:
Na1 0.2266 0.1361 0.4119  3 Na 3.72-3.78, 3 Sr 3.88-3.90
Na2 0.7734 0.8639 0.5881  3 Na 3.72-3.78, 3 Sr 3.88-3.90
Sr1 0.0275 0.7341 0.2115  4 Hg 3.42-3.47
Sr2 0.5000 0.0000 0.0000  6 Hg 3.36-3.37
Sr3 0.9725 0.2659 0.7885  4 Hg 3.42-3.47
Hg1 0.2304 0.6365 0.9023  7 Sr 3.36-3.47
Hg2 0.7696 0.3635 0.0977  7 Sr 3.36-3.47

**DFT formation energy**: -217 meV/atom